BaZr2O4: relaxed, GGA-PBE.

The space group is Fd-3m (No. 227, origin choice 2) and the conventional cell measures 9.674, 9.674 and 9.674 Å, with angles of 90.00, 90.00 and 90.00 degrees. Symmetry generates all atoms from Ba at (0.125, 0.125, 0.125), Zr at (0.000, 0.000, 0.500) and O at (0.023, 0.023, 0.727).

For the size of the total moment, the calculation gives 0.01 μB per cell. The offset from the most stable computed form comes out at 0.0 meV per atom. The calculation puts the volume at 16.2 A^3/atom.

***

BaZrO3: relaxed, GGA-PBE.

The space group is P2_1/m (No. 11) and the conventional cell measures 4.141, 6.306 and 6.534 Å, with angles of 90.00, 105.66 and 90.00 degrees. Symmetry generates all atoms from Ba at (0.178, 0.250, 0.391), Zr at (0.493, 0.250, 0.955), O at (0.001, 0.750, 0.018) and O at (0.395, 0.515, 0.761).

For the size of the total moment, the calculation gives 0.00 μB per cell. The calculation puts the raw total energy at -8.076 eV per atom. The calculation puts the volume at 16.4 A^3/atom.

***

Ba2Zr2O5: relaxed, GGA-PBE.

The space group is Ima2 (No. 46) and the conventional cell measures 16.918, 5.957 and 5.993 Å, with angles of 90.00, 90.00 and 90.00 degrees. Symmetry generates all atoms from Ba at (0.122, 0.001, 0.000), Zr at (0.000, 0.000, 0.500), Zr at (0.250, 0.507, 0.000), O at (0.001, 0.750, 0.250), O at (0.126, 0.011, 0.500) and O at (0.250, 0.748, 0.748).

For the size of the total moment, the calculation gives 0.02 μB per cell. The calculation puts the raw total energy at -7.963 eV per atom. The calculation puts the volume at 16.8 A^3/atom.

***

BaZrO3: relaxed, GGA-PBE.

The space group is Pm-3m (No. 221) and the conventional cell measures 4.223, 4.223 and 4.223 Å, with angles of 90.00, 90.00 and 90.00 degrees. Symmetry generates all atoms from Ba at (0.000, 0.000, 0.000), Zr at (0.500, 0.500, 0.500) and O at (0.000, 0.500, 0.500).

For the size of the total moment, the calculation gives 0.00 μB per cell. The calculation puts the raw total energy at -8.285 eV per atom. The calculation puts the volume at 15.1 A^3/atom.